a | HfMg2Ir2: optimized geometry, PBE-GGA.

a = 3.657 Å, b = 3.657 Å, c = 7.144 Å
α = 75.17°, β = 75.17°, γ = 90.00°
Fractional coordinates of all 5 atoms:
Mg  0.750  0.250  0.500
Mg  0.250  0.750  0.500
Ir  0.400  0.400  0.201
Ir  0.600  0.600  0.799
Hf  0.000  0.000  0.000

Magnetic moment: 0.000 μB/atom
Symmetry: I4/mmm

b | HfMg2Ir2: optimized geometry, PBE-GGA.

a = 7.405 Å, b = 7.405 Å, c = 3.140 Å
α = 90.00°, β = 90.00°, γ = 90.00°
Fractional coordinates of all 10 atoms:
Mg  0.137  0.637  0.500
Mg  0.637  0.863  0.500
Mg  0.863  0.363  0.500
Mg  0.363  0.137  0.500
Ir  0.339  0.839  0.000
Ir  0.839  0.661  0.000
Ir  0.661  0.161  0.000
Ir  0.161  0.339  0.000
Hf  0.000  0.000  0.000
Hf  0.500  0.500  0.000

Magnetic moment: 0.000 μB/atom
Symmetry: P4/mbm

Quick ranking, most stable first: b, a.

a | HfMg3Ir: optimized geometry, PBE-GGA.

a = 4.862 Å, b = 4.862 Å, c = 4.862 Å
α = 90.00°, β = 90.00°, γ = 90.00°
Fractional coordinates of all 5 atoms:
Mg  0.000  0.500  0.000
Mg  0.000  0.000  0.500
Mg  0.500  0.000  0.000
Ir  0.000  0.000  0.000
Hf  0.500  0.500  0.500

Magnetic moment: 0.000 μB/atom
Symmetry: Pm-3m

b | HfMg3Ir: optimized geometry, PBE-GGA.

a = 5.279 Å, b = 5.279 Å, c = 5.279 Å
α = 90.00°, β = 90.00°, γ = 90.00°
Fractional coordinates of all 5 atoms:
Mg  0.000  0.500  0.000
Mg  0.000  0.000  0.500
Mg  0.500  0.000  0.000
Ir  0.500  0.500  0.500
Hf  0.000  0.000  0.000

Magnetic moment: 0.000 μB/atom
Symmetry: Pm-3m

Quick ranking, most stable first: a, b.

a | HfMn2Ir: optimized geometry, PBE-GGA.

a = 4.380 Å, b = 4.380 Å, c = 4.380 Å
α = 60.00°, β = 60.00°, γ = 60.00°
Each line ends with the local moment (μB).
Fractional coordinates of all 4 atoms:
Ir  0.500  0.500  0.500  0.36
Hf  0.000  0.000  0.000  -0.39
Mn  0.250  0.250  0.250  2.55
Mn  0.750  0.750  0.750  2.55

Magnetic moment: 1.262 μB/atom
Symmetry: Fm-3m

b | HfMn2Ir: optimized geometry, PBE-GGA.

a = 7.116 Å, b = 7.116 Å, c = 5.692 Å
α = 51.31°, β = 51.31°, γ = 90.00°
Each line ends with the local moment (μB).
Fractional coordinates of all 8 atoms:
Ir  0.000  0.000  0.000  0.06
Ir  0.750  0.250  0.500  0.06
Hf  0.500  0.500  0.000  -0.33
Hf  0.250  0.750  0.500  -0.34
Mn  0.658  0.125  0.250  2.93
Mn  0.092  0.625  0.250  2.93
Mn  0.375  0.342  0.750  2.94
Mn  0.875  0.908  0.750  2.94

Magnetic moment: 1.431 μB/atom
Symmetry: I-42d

Quick ranking, most stable first: a, b.

a | HfMn3Ir: optimized geometry, PBE-GGA.

a = 4.352 Å, b = 4.352 Å, c = 4.352 Å
α = 90.00°, β = 90.00°, γ = 90.00°
Fractional coordinates of all 5 atoms:
Ir  0.500  0.500  0.500
Hf  0.000  0.000  0.000
Mn  0.000  0.500  0.000
Mn  0.000  0.000  0.500
Mn  0.500  0.000  0.000

Magnetic moment: 0.000 μB/atom
Symmetry: Pm-3m

b | HfMn3Ir: optimized geometry, PBE-GGA.

a = 4.676 Å, b = 4.676 Å, c = 4.676 Å
α = 90.00°, β = 90.00°, γ = 90.00°
Each line ends with the local moment (μB).
Fractional coordinates of all 5 atoms:
Ir  0.000  0.000  0.000  0.24
Hf  0.500  0.500  0.500  -0.71
Mn  0.000  0.500  0.000  3.58
Mn  0.000  0.000  0.500  3.55
Mn  0.500  0.000  0.000  3.48

Magnetic moment: 2.041 μB/atom
Symmetry: Pm-3m

Quick ranking, most stable first: b, a.

a | HfIrN2: optimized geometry, PBE-GGA.

a = 4.354 Å, b = 4.354 Å, c = 6.381 Å
α = 70.05°, β = 70.05°, γ = 90.00°
Fractional coordinates of all 8 atoms:
Ir  0.000  0.000  0.000
Ir  0.750  0.250  0.500
Hf  0.500  0.500  0.000
Hf  0.250  0.750  0.500
N  0.638  0.125  0.250
N  0.112  0.625  0.250
N  0.375  0.362  0.750
N  0.875  0.888  0.750

Magnetic moment: 0.000 μB/atom
Symmetry: I-42d

b | HfIrN2: optimized geometry, PBE-GGA.

a = 3.959 Å, b = 3.959 Å, c = 3.959 Å
α = 60.00°, β = 60.00°, γ = 60.00°
Fractional coordinates of all 4 atoms:
Ir  0.500  0.500  0.500
Hf  0.000  0.000  0.000
N  0.250  0.250  0.250
N  0.750  0.750  0.750

Magnetic moment: 0.000 μB/atom
Symmetry: Fm-3m

c | HfIrN2: optimized geometry, PBE-GGA.

a = 6.392 Å, b = 6.392 Å, c = 6.392 Å
α = 29.06°, β = 29.06°, γ = 29.06°
Each line ends with the local moment (μB).
Fractional coordinates of all 4 atoms:
Ir  0.000  0.000  0.000  0.71
Hf  0.500  0.500  0.500  0.10
N  0.895  0.895  0.895  0.11
N  0.105  0.105  0.105  0.11

Magnetic moment: 0.281 μB/atom
Symmetry: R-3m

Quick ranking, most stable first: c, a, b.

a | HfIr3N: optimized geometry, PBE-GGA.

a = 4.152 Å, b = 4.152 Å, c = 4.152 Å
α = 90.00°, β = 90.00°, γ = 90.00°
Fractional coordinates of all 5 atoms:
Ir  0.000  0.500  0.000
Ir  0.000  0.000  0.500
Ir  0.500  0.000  0.000
Hf  0.500  0.500  0.500
N  0.000  0.000  0.000

Magnetic moment: 0.000 μB/atom
Symmetry: Pm-3m

b | HfIr3N: optimized geometry, PBE-GGA.

a = 4.892 Å, b = 4.892 Å, c = 4.892 Å
α = 90.00°, β = 90.00°, γ = 90.00°
Each line ends with the local moment (μB).
Fractional coordinates of all 5 atoms:
Ir  0.000  0.500  0.000  0.77
Ir  0.000  0.000  0.500  0.69
Ir  0.500  0.000  0.000  0.62
Hf  0.000  0.000  0.000  -0.14
N  0.500  0.500  0.500  1.60

Magnetic moment: 0.843 μB/atom
Symmetry: Pm-3m

Quick ranking, most stable first: a, b.

a | Hf4Ir2N: optimized geometry, PBE-GGA.

a = 4.324 Å, b = 4.324 Å, c = 7.395 Å
α = 73.00°, β = 73.00°, γ = 90.00°
Fractional coordinates of all 7 atoms:
Ir  0.368  0.368  0.264
Ir  0.632  0.632  0.736
Hf  0.179  0.179  0.643
Hf  0.821  0.821  0.357
Hf  0.000  0.500  0.000
Hf  0.500  0.000  0.000
N  0.000  0.000  0.000

Magnetic moment: 0.000 μB/atom
Symmetry: I4/mmm

b | Hf4Ir2N: optimized geometry, PBE-GGA.

a = 3.129 Å, b = 5.489 Å, c = 7.644 Å
α = 112.24°, β = 101.81°, γ = 90.00°
Fractional coordinates of all 7 atoms:
Hf  0.909  0.238  0.818
Hf  0.091  0.762  0.182
Hf  0.598  0.260  0.196
Hf  0.402  0.740  0.804
Ir  0.747  0.761  0.494
Ir  0.253  0.239  0.506
N  0.000  0.000  0.000

Magnetic moment: 0.000 μB/atom
Symmetry: C2/m

Quick ranking, most stable first: a, b.

a | HfIrSe2N: optimized geometry, PBE-GGA.

a = 5.205 Å, b = 5.205 Å, c = 3.863 Å
α = 90.00°, β = 90.00°, γ = 90.00°
Each line ends with the local moment (μB).
Fractional coordinates of all 5 atoms:
Ir  0.500  0.500  0.500  0.01
Hf  0.000  0.000  0.000  0.00
Se  0.000  0.500  0.000  0.01
Se  0.500  0.000  0.000  0.01
N  0.000  0.000  0.500  0.10

Magnetic moment: 0.035 μB/atom
Symmetry: P4/mmm

b | HfIrSe2N: optimized geometry, PBE-GGA.

a = 5.118 Å, b = 5.118 Å, c = 3.644 Å
α = 90.00°, β = 90.00°, γ = 90.00°
Each line ends with the local moment (μB).
Fractional coordinates of all 5 atoms:
Ir  0.000  0.000  0.000  0.00
Hf  0.500  0.500  0.500  0.22
Se  0.000  0.500  0.000  -0.01
Se  0.500  0.000  0.000  -0.01
N  0.000  0.000  0.500  0.00

Magnetic moment: 0.064 μB/atom
Symmetry: P4/mmm

Quick ranking, most stable first: b, a.

a | NaHf3Ir: optimized geometry, PBE-GGA.

a = 5.105 Å, b = 5.105 Å, c = 5.105 Å
α = 90.00°, β = 90.00°, γ = 90.00°
Fractional coordinates of all 5 atoms:
Na  0.500  0.500  0.500
Ir  0.000  0.000  0.000
Hf  0.000  0.500  0.000
Hf  0.000  0.000  0.500
Hf  0.500  0.000  0.000

Magnetic moment: 0.016 μB/atom
Symmetry: Pm-3m

b | NaHf3Ir: optimized geometry, PBE-GGA.

a = 4.760 Å, b = 4.760 Å, c = 4.760 Å
α = 90.00°, β = 90.00°, γ = 90.00°
Fractional coordinates of all 5 atoms:
Na  0.000  0.000  0.000
Ir  0.500  0.500  0.500
Hf  0.000  0.500  0.000
Hf  0.000  0.000  0.500
Hf  0.500  0.000  0.000

Magnetic moment: 0.000 μB/atom
Symmetry: Pm-3m

Quick ranking, most stable first: a, b.

a | HfNb3Ir: optimized geometry, PBE-GGA.

a = 4.792 Å, b = 4.792 Å, c = 4.792 Å
α = 90.00°, β = 90.00°, γ = 90.00°
Fractional coordinates of all 5 atoms:
Nb  0.000  0.500  0.000
Nb  0.000  0.000  0.500
Nb  0.500  0.000  0.000
Ir  0.500  0.500  0.500
Hf  0.000  0.000  0.000

Magnetic moment: 0.000 μB/atom
Symmetry: Pm-3m

b | HfNb3Ir: optimized geometry, PBE-GGA.

a = 4.860 Å, b = 4.860 Å, c = 4.860 Å
α = 90.00°, β = 90.00°, γ = 90.00°
Fractional coordinates of all 5 atoms:
Nb  0.000  0.500  0.000
Nb  0.000  0.000  0.500
Nb  0.500  0.000  0.000
Ir  0.000  0.000  0.000
Hf  0.500  0.500  0.500

Magnetic moment: 0.000 μB/atom
Symmetry: Pm-3m

Quick ranking, most stable first: b, a.

a | HfNb2Ir: optimized geometry, PBE-GGA.

a = 4.624 Å, b = 4.624 Å, c = 4.624 Å
α = 60.00°, β = 60.00°, γ = 60.00°
Fractional coordinates of all 4 atoms:
Nb  0.250  0.250  0.250
Nb  0.750  0.750  0.750
Ir  0.500  0.500  0.500
Hf  0.000  0.000  0.000

Magnetic moment: 0.000 μB/atom
Symmetry: Fm-3m

b | HfNb2Ir: optimized geometry, PBE-GGA.

a = 7.665 Å, b = 7.665 Å, c = 6.048 Å
α = 50.68°, β = 50.68°, γ = 90.00°
Fractional coordinates of all 8 atoms:
Nb  0.662  0.125  0.250
Nb  0.088  0.625  0.250
Nb  0.375  0.338  0.750
Nb  0.875  0.912  0.750
Ir  0.000  0.000  0.000
Ir  0.750  0.250  0.500
Hf  0.500  0.500  0.000
Hf  0.250  0.750  0.500

Magnetic moment: 0.000 μB/atom
Symmetry: I-42d

Quick ranking, most stable first: a, b.

a | HfNbIrRu: optimized geometry, PBE-GGA.

a = 4.337 Å, b = 4.338 Å, c = 4.703 Å
α = 117.46°, β = 117.46°, γ = 90.00°
Fractional coordinates of all 4 atoms:
Hf  0.750  0.250  0.500
Nb  0.250  0.750  0.500
Ir  0.000  0.000  0.000
Ru  0.500  0.500  0.000

Magnetic moment: 0.000 μB/atom
Symmetry: I-4m2

b | HfNbIrRu: optimized geometry, PBE-GGA.

a = 4.566 Å, b = 4.566 Å, c = 4.566 Å
α = 60.00°, β = 60.00°, γ = 60.00°
Fractional coordinates of all 4 atoms:
Ru  0.250  0.250  0.250
Nb  0.000  0.000  0.000
Ir  0.750  0.750  0.750
Hf  0.500  0.500  0.500

Magnetic moment: 0.000 μB/atom
Symmetry: F-43m

Quick ranking, most stable first: a, b.